(1)
The following is a DFT calculation (PBE) of an optimized crystal structure of ZnPbC2.

Values from the calculation:
Crystal system: tetragonal
Density of states at the Fermi level, states/eV/cell: 9.7
Formation enthalpy at 0 K, kJ/mol of atoms: 155.1

```
data_ZnPbC2
_space_group_name_H-M_alt 'I -4 2 d'
_space_group_IT_number 122
_space_group_name_Hall 'I -4 2bw'
_cell_length_a 4.972
_cell_length_b 4.972
_cell_length_c 10.272
_cell_angle_alpha 90.00
_cell_angle_beta 90.00
_cell_angle_gamma 90.00
loop_
_atom_site_label
_atom_site_type_symbol
_atom_site_fract_x
_atom_site_fract_y
_atom_site_fract_z
_atom_site_occupancy
Zn1 Zn 0.000 0.000 0.000 1
Pb1 Pb 0.000 0.000 0.500 1
C1 C 0.206 0.250 0.125 1
```

***

(2)
The following is a DFT calculation (PBE) of an optimized crystal structure of YTePd.

Values from the calculation:
ΔE_f (raw), eV per atom: -0.491
Crystal system: tetragonal
Density of states at the Fermi level, states/eV/cell: 9.3

```
data_YTePd
_space_group_name_H-M_alt 'I 41 m d'
_space_group_IT_number 109
_space_group_name_Hall 'I 4bw -2'
_cell_length_a 5.192
_cell_length_b 5.192
_cell_length_c 14.152
_cell_angle_alpha 90.00
_cell_angle_beta 90.00
_cell_angle_gamma 90.00
loop_
_atom_site_label
_atom_site_type_symbol
_atom_site_fract_x
_atom_site_fract_y
_atom_site_fract_z
_atom_site_occupancy
Y1 Y 0.000 0.000 0.000 1
Te1 Te 0.000 0.000 0.401 1
Pd1 Pd 0.000 0.000 0.200 1
```

***

(3)
The following is a DFT calculation (PBE) of an optimized crystal structure of K3Pm3GeSe8.

Values from the calculation:
ΔE_f (raw), eV per atom: -1.365
Crystal system: trigonal
Density of states at the Fermi level, states/eV/cell: 9.6

```
data_K3Pm3GeSe8
_space_group_name_H-M_alt 'R -3 m'
_space_group_IT_number 166
_space_group_name_Hall '-R 3 2"'
_cell_length_a 8.4065
_cell_length_b 8.4065
_cell_length_c 23.6458
_cell_angle_alpha 90.00
_cell_angle_beta 90.00
_cell_angle_gamma 120.00
loop_
_atom_site_label
_atom_site_type_symbol
_atom_site_fract_x
_atom_site_fract_y
_atom_site_fract_z
_atom_site_occupancy
K1 K 0.0000 0.5000 0.0000 1
Pm1 Pm 0.0000 0.5000 0.5000 1
Ge1 Ge 0.0000 0.0000 0.5000 1
Se1 Se 0.0000 0.0000 0.2366 1
Se2 Se 0.0311 0.5155 0.2313 1
```

***

(4)
The following is a DFT calculation (PBE) of an optimized crystal structure of ScTc2NiW.

Values from the calculation:
Crystal system: tetragonal
Density of states at the Fermi level, states/eV/cell: 4.7
Formation enthalpy at 0 K, kJ/mol of atoms: 98.1

```
data_ScTc2NiW
_space_group_name_H-M_alt 'P 4/m m m'
_space_group_IT_number 123
_space_group_name_Hall '-P 4 2'
_cell_length_a 4.695
_cell_length_b 4.695
_cell_length_c 4.506
_cell_angle_alpha 90.00
_cell_angle_beta 90.00
_cell_angle_gamma 90.00
loop_
_atom_site_label
_atom_site_type_symbol
_atom_site_fract_x
_atom_site_fract_y
_atom_site_fract_z
_atom_site_occupancy
Sc1 Sc 0.000 0.000 0.000 1
Tc1 Tc 0.000 0.500 0.500 1
Ni1 Ni 0.500 0.500 0.000 1
W1 W 0.500 0.500 0.500 1
```

***

(5)
The following is a DFT calculation (PBE) of an optimized crystal structure of K2TaHg.

Values from the calculation:
Crystal system: tetragonal
Density of states at the Fermi level, states/eV/cell: 10.8
Formation enthalpy at 0 K, kJ/mol of atoms: 114.1

```
data_K2TaHg
_space_group_name_H-M_alt 'I -4 m 2'
_space_group_IT_number 119
_space_group_name_Hall 'I -4 -2'
_cell_length_a 5.657
_cell_length_b 5.657
_cell_length_c 7.932
_cell_angle_alpha 90.00
_cell_angle_beta 90.00
_cell_angle_gamma 90.00
loop_
_atom_site_label
_atom_site_type_symbol
_atom_site_fract_x
_atom_site_fract_y
_atom_site_fract_z
_atom_site_occupancy
K1 K 0.000 0.000 0.000 1
K2 K 0.000 0.500 0.250 1
Ta1 Ta 0.000 0.000 0.500 1
Hg1 Hg 0.000 0.500 0.750 1
```

***

(6)
The following is a DFT calculation (PBE) of an optimized crystal structure of CaBiP2O.

Values from the calculation:
ΔE_f (raw), eV per atom: 0.289
Crystal system: tetragonal
Density of states at the Fermi level, states/eV/cell: 5.5

```
data_CaBiP2O
_space_group_name_H-M_alt 'P 4/m m m'
_space_group_IT_number 123
_space_group_name_Hall '-P 4 2'
_cell_length_a 5.341
_cell_length_b 5.341
_cell_length_c 4.133
_cell_angle_alpha 90.00
_cell_angle_beta 90.00
_cell_angle_gamma 90.00
loop_
_atom_site_label
_atom_site_type_symbol
_atom_site_fract_x
_atom_site_fract_y
_atom_site_fract_z
_atom_site_occupancy
Ca1 Ca 0.000 0.000 0.000 1
Bi1 Bi 0.500 0.500 0.500 1
P1 P 0.000 0.500 0.000 1
O1 O 0.000 0.000 0.500 1
```